This record from the Alexandria database describes an optimized crystal structure of KLi2Be. The functional is PBE.

N(E_F) = 2.61 states/eV/f.u.
E = -1.717 eV/atom
energy of formation from the pure elements = 1.783 eV per formula unit

Structure (CIF):
```
data_KLi2Be
_symmetry_space_group_name_H-M 'C 1 2/m 1'
_symmetry_Int_Tables_number 12
_cell_length_a 7.9022
_cell_length_b 4.4341
_cell_length_c 6.7175
_cell_angle_alpha 90.00
_cell_angle_beta 111.43
_cell_angle_gamma 90.00
loop_
_symmetry_equiv_pos_as_xyz
'x,y,z'
'-x,-y,-z'
'-x,y,-z'
'x,-y,z'
'x+1/2,y+1/2,z'
'-x+1/2,-y+1/2,-z'
'-x+1/2,y+1/2,-z'
'x+1/2,-y+1/2,z'
loop_
_atom_site_label
_atom_site_type_symbol
_atom_site_fract_x
_atom_site_fract_y
_atom_site_fract_z
_atom_site_occupancy
K1 K 0.0000 0.0000 0.0000 1
Li1 Li 0.1926 0.0000 0.5803 1
Be1 Be 0.0000 0.5000 0.5000 1
```


This record from the Alexandria database describes an optimized crystal structure of Er2Ge5Pt3. The functional is PBE.

N(E_F) = 3.11 states/eV/f.u.
E = -5.810 eV/atom
energy of formation from the pure elements = -7.767 eV per formula unit

Structure (CIF):
```
data_Er2Ge5Pt3
_symmetry_space_group_name_H-M 'C m c 21'
_symmetry_Int_Tables_number 36
_cell_length_a 4.3196
_cell_length_b 24.3755
_cell_length_c 7.0232
_cell_angle_alpha 90.00
_cell_angle_beta 90.00
_cell_angle_gamma 90.00
loop_
_symmetry_equiv_pos_as_xyz
'x,y,z'
'-x,-y,z+1/2'
'-x,y,z'
'x,-y,z+1/2'
'x+1/2,y+1/2,z'
'-x+1/2,-y+1/2,z+1/2'
'-x+1/2,y+1/2,z'
'x+1/2,-y+1/2,z+1/2'
loop_
_atom_site_label
_atom_site_type_symbol
_atom_site_fract_x
_atom_site_fract_y
_atom_site_fract_z
_atom_site_occupancy
Er1 Er 0.0000 0.0208 0.0000 1
Er2 Er 0.0000 0.3264 0.9951 1
Ge1 Ge 0.0000 0.1020 0.6446 1
Ge2 Ge 0.0000 0.2037 0.1770 1
Ge3 Ge 0.0000 0.2115 0.7605 1
Ge4 Ge 0.0000 0.3811 0.5237 1
Ge5 Ge 0.0000 0.4526 0.8403 1
Pt1 Pt 0.0000 0.1047 0.2738 1
Pt2 Pt 0.0000 0.2767 0.4556 1
Pt3 Pt 0.0000 0.4455 0.2203 1
```


This record from the Alexandria database describes an optimized crystal structure of Nd4GeAs2Cl. The functional is PBE.

N(E_F) = 2.25 states/eV/f.u.
formation energy (no corrections) = -1.408 eV/atom
E = -5.762 eV/atom

Structure (CIF):
```
data_Nd4GeAs2Cl
_symmetry_space_group_name_H-M 'P 1 2/m 1'
_symmetry_Int_Tables_number 10
_cell_length_a 7.3537
_cell_length_b 4.2651
_cell_length_c 7.3538
_cell_angle_alpha 90.00
_cell_angle_beta 109.17
_cell_angle_gamma 90.00
loop_
_symmetry_equiv_pos_as_xyz
'x,y,z'
'-x,-y,-z'
'-x,y,-z'
'x,-y,z'
loop_
_atom_site_label
_atom_site_type_symbol
_atom_site_fract_x
_atom_site_fract_y
_atom_site_fract_z
_atom_site_occupancy
Nd1 Nd 0.2381 0.0000 0.2356 1
Nd2 Nd 0.2474 0.5000 0.7545 1
Ge1 Ge 0.5000 0.0000 0.0000 1
As1 As 0.0000 0.0000 0.5000 1
As2 As 0.0000 0.5000 0.0000 1
Cl1 Cl 0.5000 0.5000 0.5000 1
```


This record from the Alexandria database describes an optimized crystal structure of Rb2BeBiW. The functional is PBE.

N(E_F) = 4.68 states/eV/f.u.
E = -3.108 eV/atom
energy of formation from the pure elements = 6.955 eV per formula unit

Structure (CIF):
```
data_Rb2BeBiW
_symmetry_space_group_name_H-M 'P 4/m m m'
_symmetry_Int_Tables_number 123
_symmetry_space_group_name_Hall '-P 4 2'
_cell_length_a 6.2842
_cell_length_b 6.2842
_cell_length_c 4.6656
_cell_angle_alpha 90.00
_cell_angle_beta 90.00
_cell_angle_gamma 90.00
loop_
_atom_site_label
_atom_site_type_symbol
_atom_site_fract_x
_atom_site_fract_y
_atom_site_fract_z
_atom_site_occupancy
Rb1 Rb 0.0000 0.5000 0.0000 1
Be1 Be 0.0000 0.0000 0.0000 1
Bi1 Bi 0.5000 0.5000 0.5000 1
W1 W 0.0000 0.0000 0.5000 1
```


This record from the Alexandria database describes an optimized crystal structure of Sm3Dy6Er. The functional is PBE.

N(E_F) = 17.59 states/eV/f.u.
excess energy over the best structure of this formula in the dataset = 0.077 eV/atom
E = -4.408 eV/atom
energy of formation from the pure elements = 2.258 eV per formula unit

Structure (CIF):
```
data_Sm3Dy6Er
_symmetry_space_group_name_H-M 'C 1 2/m 1'
_symmetry_Int_Tables_number 12
_cell_length_a 11.4952
_cell_length_b 6.5857
_cell_length_c 9.6091
_cell_angle_alpha 90.00
_cell_angle_beta 114.11
_cell_angle_gamma 90.00
loop_
_symmetry_equiv_pos_as_xyz
'x,y,z'
'-x,-y,-z'
'-x,y,-z'
'x,-y,z'
'x+1/2,y+1/2,z'
'-x+1/2,-y+1/2,-z'
'-x+1/2,y+1/2,-z'
'x+1/2,-y+1/2,z'
loop_
_atom_site_label
_atom_site_type_symbol
_atom_site_fract_x
_atom_site_fract_y
_atom_site_fract_z
_atom_site_occupancy
Sm1 Sm 0.0000 0.0000 0.0000 1
Sm2 Sm 0.0687 0.0000 0.6970 1
Dy1 Dy 0.1379 0.5000 0.9227 1
Dy2 Dy 0.1864 0.2531 0.3097 1
Er1 Er 0.0000 0.5000 0.5000 1
```


This record from the Alexandria database describes an optimized crystal structure of Sc2SiS. The functional is PBE.

N(E_F) = 2.04 states/eV/f.u.
excess energy over the best structure of this formula in the dataset = 0.000 eV/atom
formation energy (no corrections) = -1.366 eV/atom
E = -6.920 eV/atom

Structure (CIF):
```
data_Sc2SiS
_symmetry_space_group_name_H-M 'C m c m'
_symmetry_Int_Tables_number 63
_symmetry_space_group_name_Hall '-C 2c 2'
_cell_length_a 3.8185
_cell_length_b 20.3715
_cell_length_c 3.6956
_cell_angle_alpha 90.00
_cell_angle_beta 90.00
_cell_angle_gamma 90.00
loop_
_atom_site_label
_atom_site_type_symbol
_atom_site_fract_x
_atom_site_fract_y
_atom_site_fract_z
_atom_site_occupancy
Sc1 Sc 0.0000 0.0664 0.2500 1
Sc2 Sc 0.0000 0.3221 0.2500 1
Si1 Si 0.0000 0.4587 0.2500 1
S1 S 0.0000 0.1918 0.2500 1
```


This record from the Alexandria database describes an optimized crystal structure of NaPmCd2. The functional is PBE.

N(E_F) = 2.67 states/eV/f.u.
excess energy over the best structure of this formula in the dataset = 0.123 eV/atom
E = -2.036 eV/atom
energy of formation from the pure elements = -0.243 eV per formula unit

Structure (CIF):
```
data_NaPmCd2
_symmetry_space_group_name_H-M 'R -3 m'
_symmetry_Int_Tables_number 166
_symmetry_space_group_name_Hall '-R 3 2"'
_cell_length_a 3.5494
_cell_length_b 3.5494
_cell_length_c 31.2928
_cell_angle_alpha 90.00
_cell_angle_beta 90.00
_cell_angle_gamma 120.00
loop_
_atom_site_label
_atom_site_type_symbol
_atom_site_fract_x
_atom_site_fract_y
_atom_site_fract_z
_atom_site_occupancy
Na1 Na 0.0000 0.0000 0.0000 1
Pm1 Pm 0.0000 0.0000 0.5000 1
Cd1 Cd 0.0000 0.0000 0.2505 1
```


This record from the Alexandria database describes an optimized crystal structure of NdSc2GaAu4. The functional is PBE.

N(E_F) = 4.20 states/eV/f.u.
E = -4.876 eV/atom
energy of formation from the pure elements = -5.444 eV per formula unit

Structure (CIF):
```
data_NdSc2GaAu4
_symmetry_space_group_name_H-M 'R -3 m'
_symmetry_Int_Tables_number 166
_symmetry_space_group_name_Hall '-R 3 2"'
_cell_length_a 4.7059
_cell_length_b 4.7059
_cell_length_c 26.5349
_cell_angle_alpha 90.00
_cell_angle_beta 90.00
_cell_angle_gamma 120.00
loop_
_atom_site_label
_atom_site_type_symbol
_atom_site_fract_x
_atom_site_fract_y
_atom_site_fract_z
_atom_site_occupancy
Nd1 Nd 0.0000 0.0000 0.0000 1
Sc1 Sc 0.0000 0.0000 0.2343 1
Ga1 Ga 0.0000 0.0000 0.5000 1
Au1 Au 0.0000 0.0000 0.1218 1
Au2 Au 0.0000 0.0000 0.3953 1
```


This record from the Alexandria database describes an optimized crystal structure of Cs2TmCd2Te4. The functional is PBE.

N(E_F) = 4.37 states/eV/f.u.
formation energy (no corrections) = -0.878 eV/atom
E = -3.164 eV/atom

Structure (CIF):
```
data_Cs2TmCd2Te4
_symmetry_space_group_name_H-M 'C 1 2/m 1'
_symmetry_Int_Tables_number 12
_cell_length_a 17.8238
_cell_length_b 4.5125
_cell_length_c 9.2810
_cell_angle_alpha 90.00
_cell_angle_beta 112.50
_cell_angle_gamma 90.00
loop_
_symmetry_equiv_pos_as_xyz
'x,y,z'
'-x,-y,-z'
'-x,y,-z'
'x,-y,z'
'x+1/2,y+1/2,z'
'-x+1/2,-y+1/2,-z'
'-x+1/2,y+1/2,-z'
'x+1/2,-y+1/2,z'
loop_
_atom_site_label
_atom_site_type_symbol
_atom_site_fract_x
_atom_site_fract_y
_atom_site_fract_z
_atom_site_occupancy
Cs1 Cs 0.1284 0.0000 0.0696 1
Tm1 Tm 0.0000 0.0000 0.5000 1
Cd1 Cd 0.1876 0.5000 0.5040 1
Te1 Te 0.0208 0.5000 0.2862 1
Te2 Te 0.1825 0.0000 0.7045 1
```


This record from the Alexandria database describes an optimized crystal structure of Zr2ReHg. The functional is PBE.

N(E_F) = 5.30 states/eV/f.u.
E = -7.243 eV/atom
energy of formation from the pure elements = 0.876 eV per formula unit

Structure (CIF):
```
data_Zr2ReHg
_symmetry_space_group_name_H-M 'F -4 3 m'
_symmetry_Int_Tables_number 216
_symmetry_space_group_name_Hall 'F -4 2 3'
_cell_length_a 6.7607
_cell_length_b 6.7607
_cell_length_c 6.7607
_cell_angle_alpha 90.00
_cell_angle_beta 90.00
_cell_angle_gamma 90.00
loop_
_atom_site_label
_atom_site_type_symbol
_atom_site_fract_x
_atom_site_fract_y
_atom_site_fract_z
_atom_site_occupancy
Zr1 Zr 0.0000 0.0000 0.0000 1
Zr2 Zr 0.2500 0.2500 0.2500 1
Re1 Re 0.0000 0.0000 0.5000 1
Hg1 Hg 0.2500 0.2500 0.7500 1
```


This record from the Alexandria database describes an optimized crystal structure of GeOsRh2Br. The functional is PBE.

N(E_F) = 5.64 states/eV/f.u.
formation energy (no corrections) = 1.587 eV/atom
E = -4.857 eV/atom

Structure (CIF):
```
data_GeOsRh2Br
_symmetry_space_group_name_H-M 'P 4/m m m'
_symmetry_Int_Tables_number 123
_symmetry_space_group_name_Hall '-P 4 2'
_cell_length_a 4.5800
_cell_length_b 4.5800
_cell_length_c 5.0211
_cell_angle_alpha 90.00
_cell_angle_beta 90.00
_cell_angle_gamma 90.00
loop_
_atom_site_label
_atom_site_type_symbol
_atom_site_fract_x
_atom_site_fract_y
_atom_site_fract_z
_atom_site_occupancy
Ge1 Ge 0.0000 0.0000 0.0000 1
Os1 Os 0.5000 0.5000 0.5000 1
Rh1 Rh 0.0000 0.5000 0.0000 1
Br1 Br 0.0000 0.0000 0.5000 1
```


This record from the Alexandria database describes an optimized crystal structure of TaSiOs3. The functional is PBE.

N(E_F) = 7.54 states/eV/f.u.
excess energy over the best structure of this formula in the dataset = 1.610 eV/atom
formation energy (no corrections) = 2.403 eV/atom
E = -7.790 eV/atom

Structure (CIF):
```
data_TaSiOs3
_symmetry_space_group_name_H-M 'P m -3 m'
_symmetry_Int_Tables_number 221
_symmetry_space_group_name_Hall '-P 4 2 3'
_cell_length_a 4.7612
_cell_length_b 4.7612
_cell_length_c 4.7612
_cell_angle_alpha 90.00
_cell_angle_beta 90.00
_cell_angle_gamma 90.00
loop_
_atom_site_label
_atom_site_type_symbol
_atom_site_fract_x
_atom_site_fract_y
_atom_site_fract_z
_atom_site_occupancy
Ta1 Ta 0.0000 0.0000 0.0000 1
Si1 Si 0.5000 0.5000 0.5000 1
Os1 Os 0.0000 0.0000 0.5000 1
```


Copy entry 5 word for word.
This record from the Alexandria database describes an optimized crystal structure of Sm3Dy6Er. The functional is PBE.

N(E_F) = 17.59 states/eV/f.u.
excess energy over the best structure of this formula in the dataset = 0.077 eV/atom
E = -4.408 eV/atom
energy of formation from the pure elements = 2.258 eV per formula unit

Structure (CIF):
```
data_Sm3Dy6Er
_symmetry_space_group_name_H-M 'C 1 2/m 1'
_symmetry_Int_Tables_number 12
_cell_length_a 11.4952
_cell_length_b 6.5857
_cell_length_c 9.6091
_cell_angle_alpha 90.00
_cell_angle_beta 114.11
_cell_angle_gamma 90.00
loop_
_symmetry_equiv_pos_as_xyz
'x,y,z'
'-x,-y,-z'
'-x,y,-z'
'x,-y,z'
'x+1/2,y+1/2,z'
'-x+1/2,-y+1/2,-z'
'-x+1/2,y+1/2,-z'
'x+1/2,-y+1/2,z'
loop_
_atom_site_label
_atom_site_type_symbol
_atom_site_fract_x
_atom_site_fract_y
_atom_site_fract_z
_atom_site_occupancy
Sm1 Sm 0.0000 0.0000 0.0000 1
Sm2 Sm 0.0687 0.0000 0.6970 1
Dy1 Dy 0.1379 0.5000 0.9227 1
Dy2 Dy 0.1864 0.2531 0.3097 1
Er1 Er 0.0000 0.5000 0.5000 1
```


Question: Which value of E does entry 2 give?
Answer: -5.810 eV/atom


Question: What is the N(E_F) in the eleventh record?
Answer: 5.64 states/eV/f.u.